Material: LuSBr
Method: DFT, GGA-PBEsol
State: optimized geometry

Values from the calculation:
Symmetry: Pmmn
Calculated density in g/cm³: 5.55
ΔE_f (raw) in meV per atom: -2006
Volume in A^3/atom: 28.61

Lattice parameters (Å, degrees): 3.8845 5.2138 8.4765 90.00 90.00 90.00
Element x y z (fractional)
Lu 0.2500 0.2500 0.1278
Lu 0.7500 0.7500 0.8722
S 0.2500 0.7500 0.0855
S 0.7500 0.2500 0.9145
Br 0.2500 0.7500 0.6462
Br 0.7500 0.2500 0.3538



Material: YScNb2I
Method: DFT, GGA-PBEsol
State: optimized geometry

Values from the calculation:
Symmetry: P4/mmm
Calculated density in g/cm³: 5.66
ΔE_f (raw) in meV per atom: 876
Volume in A^3/atom: 26.20

Lattice parameters (Å, degrees): 5.0570 5.0570 5.1229 90.00 90.00 90.00
Element x y z (fractional)
Y 0.0000 0.0000 0.0000
Sc 0.5000 0.5000 0.0000
Nb 0.0000 0.5000 0.5000
Nb 0.5000 0.0000 0.5000
I 0.5000 0.5000 0.5000



Material: MgZnCd2
Method: DFT, GGA-PBEsol
State: optimized geometry

Values from the calculation:
Symmetry: C2/m
Calculated density in g/cm³: 6.74
ΔE to the lowest computed polymorph in eV/f.u.: 0.10
Volume in A^3/atom: 19.36

Lattice parameters (Å, degrees): 5.0129 5.0129 5.3539 101.19 101.19 36.02
Element x y z (fractional)
Mg 0.0000 0.0000 0.0000
Zn 0.5000 0.5000 0.5000
Cd 0.2444 0.2444 0.7411
Cd 0.7556 0.7556 0.2589



Copy entry 1 word for word.
Material: LuSBr
Method: DFT, GGA-PBEsol
State: optimized geometry

Values from the calculation:
Symmetry: Pmmn
Calculated density in g/cm³: 5.55
ΔE_f (raw) in meV per atom: -2006
Volume in A^3/atom: 28.61

Lattice parameters (Å, degrees): 3.8845 5.2138 8.4765 90.00 90.00 90.00
Element x y z (fractional)
Lu 0.2500 0.2500 0.1278
Lu 0.7500 0.7500 0.8722
S 0.2500 0.7500 0.0855
S 0.7500 0.2500 0.9145
Br 0.2500 0.7500 0.6462
Br 0.7500 0.2500 0.3538



Q: Which of these has the highest volume?
A: LuSBr



Q: What is the formula in the second record?
A: YScNb2I